VASP calculation (GGA-PBE) on crystalline EuLu2Ga at its relaxed geometry.

Computed properties:
size of the total moment	7.5	μB per formula unit
symmetry	P4/mmm (123)
E above lowest polymorph	2.013	kcal/mol of atoms
energy of formation from the pure elements	-0.16	eV/atom
calculated volume	26.36	Å³ per atom

Unit cell a=4.634 b=4.770 c=4.770 alpha=90.00 beta=90.00 gamma=90.00
Site moments in Bohr magnetons follow the coordinates.
Fractional positions:
Eu1 0.500 0.000 0.000  6.86
Lu1 0.000 0.000 0.500  0.17
Lu2 0.000 0.500 0.000  0.17
Ga1 0.500 0.500 0.500  -0.03